The following is a PBE calculation of an optimized crystal structure of LuNb6Cl13O3, from Alexandria via LeMat-Bulk.

Cell: 27.6859 27.6859 27.6859 Å, 160.41 160.41 27.84°
Positions (direct):
Lu (0.0936, 0.0936, 0.0000)
Lu (0.6564, 0.1564, 0.5000)
Lu (0.8436, 0.3436, 0.5000)
Lu (0.9064, 0.9064, 0.0000)
Nb (0.0011, 0.3021, 0.9288)
Nb (0.0322, 0.3181, 0.5306)
Nb (0.0521, 0.6233, 0.8010)
Nb (0.0681, 0.0375, 0.7859)
Nb (0.1046, 0.3834, 0.5555)
Nb (0.1334, 0.0779, 0.7788)
Nb (0.2516, 0.2822, 0.2141)
Nb (0.2991, 0.3546, 0.2212)
Nb (0.3733, 0.0723, 0.0712)
Nb (0.3767, 0.9479, 0.1990)
Nb (0.4509, 0.1721, 0.5555)
Nb (0.4984, 0.2125, 0.5306)
Nb (0.6166, 0.8954, 0.4445)
Nb (0.6454, 0.7009, 0.7788)
Nb (0.6819, 0.9678, 0.4694)
Nb (0.6979, 0.9989, 0.0712)
Nb (0.7178, 0.7484, 0.7859)
Nb (0.7489, 0.1777, 0.8010)
Nb (0.7875, 0.5016, 0.4694)
Nb (0.8223, 0.2511, 0.1990)
Nb (0.8279, 0.5491, 0.4445)
Nb (0.9221, 0.8666, 0.2212)
Nb (0.9277, 0.6267, 0.9288)
Nb (0.9625, 0.9319, 0.2141)
Cl (0.0022, 0.5022, 0.5000)
Cl (0.0100, 0.3002, 0.1703)
Cl (0.0410, 0.4446, 0.1759)
Cl (0.0502, 0.3798, 0.7901)
Cl (0.0685, 0.9315, 0.5000)
Cl (0.0764, 0.6552, 0.1696)
Cl (0.0932, 0.5144, 0.1696)
Cl (0.1211, 0.0052, 0.5016)
Cl (0.1296, 0.1250, 0.5046)
Cl (0.1298, 0.8397, 0.8297)
Cl (0.1349, 0.7313, 0.1759)
Cl (0.1603, 0.8702, 0.1703)
Cl (0.1946, 0.5187, 0.9035)
Cl (0.2178, 0.0466, 0.2054)
Cl (0.2464, 0.2448, 0.6159)
Cl (0.2522, 0.2522, 0.0000)
Cl (0.2644, 0.5948, 0.9211)
Cl (0.2687, 0.8651, 0.8241)
Cl (0.3185, 0.3185, 0.6371)
Cl (0.3448, 0.9236, 0.8304)
Cl (0.3695, 0.3711, 0.6159)
Cl (0.3750, 0.3796, 0.5046)
Cl (0.3805, 0.4964, 0.5016)
Cl (0.4052, 0.7356, 0.0789)
Cl (0.4315, 0.5685, 0.5000)
Cl (0.4813, 0.8054, 0.0965)
Cl (0.4856, 0.9068, 0.8304)
Cl (0.4978, 0.9978, 0.5000)
Cl (0.5036, 0.6195, 0.4984)
Cl (0.5322, 0.2376, 0.3288)
Cl (0.5554, 0.9590, 0.8241)
Cl (0.5897, 0.2600, 0.2099)
Cl (0.6151, 0.2910, 0.0965)
Cl (0.6204, 0.6250, 0.4954)
Cl (0.6202, 0.9498, 0.2099)
Cl (0.6289, 0.6305, 0.3841)
Cl (0.6568, 0.3264, 0.9211)
Cl (0.6736, 0.3432, 0.0789)
Cl (0.6815, 0.6815, 0.3629)
Cl (0.6998, 0.9900, 0.8297)
Cl (0.7090, 0.3849, 0.9035)
Cl (0.7400, 0.4103, 0.7901)
Cl (0.7478, 0.7478, 0.0000)
Cl (0.7552, 0.7536, 0.3841)
Cl (0.7624, 0.4678, 0.6712)
Cl (0.7966, 0.0912, 0.3288)
Cl (0.8412, 0.0124, 0.7946)
Cl (0.8750, 0.8704, 0.4954)
Cl (0.9088, 0.2034, 0.6712)
Cl (0.9534, 0.7822, 0.7946)
Cl (0.9876, 0.1588, 0.2054)
Cl (0.9948, 0.8789, 0.4984)
O (0.1327, 0.1327, 0.0000)
O (0.3150, 0.1024, 0.2407)
O (0.4350, 0.1757, 0.2875)
O (0.6173, 0.1173, 0.5000)
O (0.8243, 0.5650, 0.7125)
O (0.8524, 0.1117, 0.2875)
O (0.8617, 0.0743, 0.7593)
O (0.8673, 0.8673, 0.0000)
O (0.8827, 0.3827, 0.5000)
O (0.8883, 0.1476, 0.7125)
O (0.8976, 0.6850, 0.7593)
O (0.9257, 0.1383, 0.2407)

Values from the calculation:
SG: I4_122, No. 98
ΔE_f (raw), meV/atom: -1700.6